Model one:
VASP calculation (PBE) on a relaxed structure of GaSnPd6.

Lattice parameters (Å, degrees): 4.6867 4.6867 7.3075 107.06 107.06 71.76
Closest atoms and distances in Å follow each position.
Atoms (fractional coordinates):
Ga1 0.0000 0.0000 0.0000  6 Pd 2.50-2.53
Sn1 0.5000 0.5000 0.5000  10 Pd 2.72-3.02
Pd1 0.0719 0.5591 0.7058  1 Ga 2.53, 4 Pd 2.68-2.83, 2 Sn 2.72-2.75
Pd2 0.3453 0.3453 0.0564  1 Ga 2.50, 1 Pd 2.76
Pd3 0.4409 0.9281 0.2942  1 Ga 2.53, 4 Pd 2.68-2.83, 2 Sn 2.72-2.75
Pd4 0.5591 0.0719 0.7058  1 Ga 2.53, 4 Pd 2.68-2.83, 2 Sn 2.72-2.75
Pd5 0.6547 0.6547 0.9436  1 Ga 2.50, 1 Pd 2.76
Pd6 0.9281 0.4409 0.2942  1 Ga 2.53, 4 Pd 2.68-2.83, 2 Sn 2.72-2.75

Values from the calculation:
DOS at the Fermi energy = 4.1 states/eV/cell
Mass density = 9.7 g/cm³

---

Model two:
VASP calculation (PBE) on a relaxed structure of GaSnPd6.

Lattice parameters (Å, degrees): 3.9905 3.9905 7.9278 90.00 90.00 90.00
Closest atoms and distances in Å follow each position.
Atoms (fractional coordinates):
Ga1 0.0000 0.0000 0.0000  12 Pd 2.77-2.82
Sn1 0.0000 0.0000 0.5000  12 Pd 2.82-2.86
Pd1 0.0000 0.5000 0.2421  8 Pd 2.77-2.86, 2 Ga 2.77, 2 Sn 2.86
Pd2 0.0000 0.5000 0.7579  8 Pd 2.77-2.86, 2 Ga 2.77, 2 Sn 2.86
Pd3 0.5000 0.0000 0.2421  8 Pd 2.77-2.86, 2 Ga 2.77, 2 Sn 2.86
Pd4 0.5000 0.0000 0.7579  8 Pd 2.77-2.86, 2 Ga 2.77, 2 Sn 2.86
Pd5 0.5000 0.5000 0.0000  8 Pd 2.77, 4 Ga 2.82
Pd6 0.5000 0.5000 0.5000  4 Sn 2.82, 8 Pd 2.86

Values from the calculation:
DOS at the Fermi energy = 6.4 states/eV/cell
Mass density = 10.9 g/cm³

---

So which one wins? Going from most stable to least: model two, model one.

---

Model one:
VASP calculation (PBE) on a relaxed structure of Ga2SnPd7.

Lattice parameters (Å, degrees): 10.2750 10.2750 10.2750 156.93 156.93 32.85
Closest atoms and distances in Å follow each position.
Atoms (fractional coordinates):
Ga1 0.1748 0.1748 0.0000  8 Pd 2.53-2.54
Ga2 0.8252 0.8252 0.0000  8 Pd 2.53-2.54
Sn1 0.5000 0.5000 0.0000  12 Pd 2.84-2.91
Pd1 0.0000 0.0000 0.0000  8 Pd 2.84, 4 Sn 2.91
Pd2 0.0992 0.5992 0.5000  2 Ga 2.54, 2 Sn 2.84, 2 Pd 2.84
Pd3 0.2500 0.7500 0.5000  4 Ga 2.53
Pd4 0.4008 0.9008 0.5000  2 Ga 2.54, 2 Sn 2.84, 2 Pd 2.84
Pd5 0.5992 0.0992 0.5000  2 Ga 2.54, 2 Sn 2.84, 2 Pd 2.84
Pd6 0.7500 0.2500 0.5000  4 Ga 2.53
Pd7 0.9008 0.4008 0.5000  2 Ga 2.54, 2 Sn 2.84, 2 Pd 2.84

Values from the calculation:
DOS at the Fermi energy = 2.8 states/eV/cell
Mass density = 10.0 g/cm³

---

Model two:
VASP calculation (PBE) on a relaxed structure of Ga2SnPd7.

Lattice parameters (Å, degrees): 7.1424 7.1424 4.3573 90.00 90.00 117.80
Closest atoms and distances in Å follow each position.
Atoms (fractional coordinates):
Ga1 0.1981 0.8019 0.0000  7 Pd 2.42-2.65
Ga2 0.8019 0.1981 0.0000  7 Pd 2.42-2.65
Sn1 0.5000 0.5000 0.5000  10 Pd 2.64-2.95
Pd1 0.0000 0.0000 0.0000  2 Ga 2.42, 4 Pd 2.71
Pd2 0.1959 0.4294 0.0000  2 Ga 2.51-2.65, 2 Pd 2.71-2.76
Pd3 0.2841 0.7159 0.5000  2 Ga 2.42, 1 Sn 2.64
Pd4 0.4294 0.1959 0.0000  2 Ga 2.51-2.65, 2 Pd 2.71-2.76
Pd5 0.5706 0.8041 0.0000  2 Ga 2.51-2.65, 2 Pd 2.71-2.76
Pd6 0.7159 0.2841 0.5000  2 Ga 2.42, 1 Sn 2.64
Pd7 0.8041 0.5706 0.0000  2 Ga 2.51-2.65, 2 Pd 2.71-2.76

Values from the calculation:
DOS at the Fermi energy = 3.5 states/eV/cell
Mass density = 8.5 g/cm³

---

So which one wins? Going from most stable to least: model one, model two.

---

Model one:
VASP calculation (PBE) on a relaxed structure of Sr2Ga5Pd.

Lattice parameters (Å, degrees): 6.7795 6.7795 6.7795 126.01 126.01 79.88
Closest atoms and distances in Å follow each position.
Atoms (fractional coordinates):
Sr1 0.0000 0.5000 0.5000  10 Ga 3.16-3.45
Sr2 0.5000 0.0000 0.5000  10 Ga 3.16-3.45
Ga1 0.0249 0.0249 0.5632  1 Pd 2.54, 3 Ga 2.69-2.73
Ga2 0.0249 0.4617 0.0000  1 Pd 2.54, 3 Ga 2.69-2.73
Ga3 0.4323 0.4323 0.0000  1 Pd 2.56, 4 Ga 2.73
Ga4 0.4617 0.0249 0.0000  1 Pd 2.54, 3 Ga 2.69-2.73
Ga5 0.4617 0.4617 0.4368  1 Pd 2.54, 3 Ga 2.69-2.73
Pd1 0.6783 0.6783 0.0000  5 Ga 2.54-2.56

Values from the calculation:
DOS at the Fermi energy = 7.1 states/eV/cell
Mass density = 5.3 g/cm³

---

Model two:
VASP calculation (PBE) on a relaxed structure of Sr2Ga5Pd.

Lattice parameters (Å, degrees): 8.8800 8.8800 9.3873 90.00 90.00 151.08
Closest atoms and distances in Å follow each position.
Atoms (fractional coordinates):
Sr1 0.0000 0.0000 0.0000  10 Ga 3.36-3.58, 4 Pd 3.38
Sr2 0.0000 0.0000 0.5000  10 Ga 3.36-3.58, 4 Pd 3.38
Sr3 0.1989 0.8011 0.7500  10 Ga 3.20-3.38, 2 Pd 3.28
Sr4 0.8011 0.1989 0.2500  10 Ga 3.20-3.38, 2 Pd 3.28
Ga1 0.1883 0.8117 0.1091  4 Ga 2.64-2.96
Ga2 0.1883 0.8117 0.3909  4 Ga 2.64-2.96
Ga3 0.3539 0.6461 0.0236  1 Pd 2.60, 3 Ga 2.64-2.75
Ga4 0.3539 0.6461 0.4764  1 Pd 2.60, 3 Ga 2.64-2.75
Ga5 0.4106 0.5894 0.7500  1 Pd 2.55, 2 Ga 2.75
Ga6 0.5894 0.4106 0.2500  1 Pd 2.55, 2 Ga 2.75
Ga7 0.6461 0.3539 0.5236  1 Pd 2.60, 3 Ga 2.64-2.75
Ga8 0.6461 0.3539 0.9764  1 Pd 2.60, 3 Ga 2.64-2.75
Ga9 0.8117 0.1883 0.6091  4 Ga 2.64-2.96
Ga10 0.8117 0.1883 0.8909  4 Ga 2.64-2.96
Pd1 0.4413 0.5587 0.2500  3 Ga 2.55-2.60
Pd2 0.5587 0.4413 0.7500  3 Ga 2.55-2.60

Values from the calculation:
DOS at the Fermi energy = 6.2 states/eV/cell
Mass density = 5.8 g/cm³

---

So which one wins? Going from most stable to least: model two, model one.

---

Model one:
VASP calculation (PBE) on a relaxed structure of SrGaPd4.

Lattice parameters (Å, degrees): 5.4297 5.4297 5.4297 60.00 60.00 60.00
Closest atoms and distances in Å follow each position.
Atoms (fractional coordinates):
Sr1 0.0000 0.0000 0.0000  12 Pd 3.19, 4 Ga 3.33
Ga1 0.7500 0.7500 0.7500  12 Pd 3.18, 4 Sr 3.33
Pd1 0.3758 0.3758 0.3758  6 Pd 2.70-2.73
Pd2 0.3758 0.3758 0.8727  6 Pd 2.70-2.73
Pd3 0.3758 0.8727 0.3758  6 Pd 2.70-2.73
Pd4 0.8727 0.3758 0.3758  6 Pd 2.70-2.73

Values from the calculation:
DOS at the Fermi energy = 4.9 states/eV/cell
Mass density = 8.6 g/cm³

---

Model two:
VASP calculation (PBE) on a relaxed structure of SrGaPd4.

Lattice parameters (Å, degrees): 7.9451 3.9649 7.1762 90.00 90.00 90.00
Closest atoms and distances in Å follow each position.
Atoms (fractional coordinates):
Sr1 0.2500 0.0000 0.1387  8 Pd 3.05-3.27, 1 Ga 3.10
Sr2 0.7500 0.0000 0.8613  8 Pd 3.05-3.27, 1 Ga 3.10
Ga1 0.2500 0.0000 0.7061  8 Pd 2.48-2.65
Ga2 0.7500 0.0000 0.2939  8 Pd 2.48-2.65
Pd1 0.0000 0.0000 0.5000  2 Ga 2.48
Pd2 0.0606 0.5000 0.8025  2 Ga 2.58, 1 Pd 2.87
Pd3 0.2500 0.5000 0.4616  2 Ga 2.65, 6 Pd 2.82-2.87
Pd4 0.4394 0.5000 0.8025  2 Ga 2.58, 1 Pd 2.87
Pd5 0.5000 0.0000 0.5000  2 Ga 2.48
Pd6 0.5606 0.5000 0.1975  2 Ga 2.58, 1 Pd 2.87
Pd7 0.7500 0.5000 0.5384  2 Ga 2.65, 6 Pd 2.82-2.87
Pd8 0.9394 0.5000 0.1975  2 Ga 2.58, 1 Pd 2.87

Values from the calculation:
DOS at the Fermi energy = 5.6 states/eV/cell
Mass density = 8.6 g/cm³

---

So which one wins? Going from most stable to least: model two, model one.

---

Model one:
VASP calculation (PBE) on a relaxed structure of SrGaPd3.

Lattice parameters (Å, degrees): 5.2047 5.2047 5.2047 90.00 90.00 90.00
Closest atoms and distances in Å follow each position.
Atoms (fractional coordinates):
Sr1 0.0000 0.0000 0.0000  6 Pd 2.60
Ga1 0.5000 0.5000 0.5000  12 Pd 3.68
Pd1 0.0000 0.0000 0.5000  2 Sr 2.60
Pd2 0.0000 0.5000 0.0000  2 Sr 2.60
Pd3 0.5000 0.0000 0.0000  2 Sr 2.60

Values from the calculation:
DOS at the Fermi energy = 2.8 states/eV/cell
Mass density = 5.6 g/cm³

---

Model two:
VASP calculation (PBE) on a relaxed structure of SrGaPd3.

Lattice parameters (Å, degrees): 4.7812 4.7812 4.7812 90.00 90.00 90.00
Closest atoms and distances in Å follow each position.
Atoms (fractional coordinates):
Sr1 0.0000 0.0000 0.0000  12 Pd 3.38
Ga1 0.5000 0.5000 0.5000  6 Pd 2.39
Pd1 0.0000 0.5000 0.5000  2 Ga 2.39
Pd2 0.5000 0.0000 0.5000  2 Ga 2.39
Pd3 0.5000 0.5000 0.0000  2 Ga 2.39

Values from the calculation:
DOS at the Fermi energy = 3.9 states/eV/cell
Mass density = 7.2 g/cm³

---

Model three:
VASP calculation (PBE) on a relaxed structure of SrGaPd3.

Lattice parameters (Å, degrees): 9.1443 9.1443 9.1443 145.83 145.83 49.10
Closest atoms and distances in Å follow each position.
Atoms (fractional coordinates):
Sr1 0.1249 0.1249 0.0000  6 Pd 3.02-3.21
Sr2 0.8751 0.8751 0.0000  6 Pd 3.02-3.21
Ga1 0.2500 0.7500 0.5000  4 Pd 2.45
Ga2 0.5000 0.5000 0.0000  8 Pd 2.51-2.71
Pd1 0.3717 0.1275 0.7558  2 Ga 2.45-2.51, 1 Pd 2.62
Pd2 0.3717 0.6158 0.2442  2 Ga 2.45-2.51, 1 Pd 2.62
Pd3 0.3842 0.6283 0.7558  2 Ga 2.45-2.51, 1 Pd 2.62
Pd4 0.5197 0.0197 0.5000  2 Ga 2.71, 2 Pd 2.82
Pd5 0.8725 0.6283 0.2442  2 Ga 2.45-2.51, 1 Pd 2.62
Pd6 0.9803 0.4803 0.5000  2 Ga 2.71, 2 Pd 2.82

Values from the calculation:
DOS at the Fermi energy = 4.4 states/eV/cell
Mass density = 6.6 g/cm³

---

So which one wins? Going from most stable to least: model two, model three, model one.

---

Model one:
VASP calculation (PBE) on a relaxed structure of Sr2Ga3Pd2.

Lattice parameters (Å, degrees): 6.1461 6.1461 6.9811 101.47 101.47 40.99
Closest atoms and distances in Å follow each position.
Atoms (fractional coordinates):
Sr1 0.1766 0.1766 0.2368  5 Ga 3.18-3.54, 4 Pd 3.19-3.51
Sr2 0.8234 0.8234 0.7632  5 Ga 3.18-3.54, 4 Pd 3.19-3.51
Ga1 0.4280 0.4280 0.1156  2 Ga 2.55-2.64, 2 Pd 2.58
Ga2 0.5000 0.5000 0.5000  4 Pd 2.60, 2 Ga 2.64
Ga3 0.5720 0.5720 0.8844  2 Ga 2.55-2.64, 2 Pd 2.58
Pd1 0.0865 0.0865 0.6863  4 Ga 2.58-2.60
Pd2 0.9135 0.9135 0.3137  4 Ga 2.58-2.60

Values from the calculation:
DOS at the Fermi energy = 2.8 states/eV/cell
Mass density = 5.9 g/cm³

---

Model two:
VASP calculation (PBE) on a relaxed structure of Sr2Ga3Pd2.

Lattice parameters (Å, degrees): 6.0053 6.0053 7.7139 117.40 117.40 40.75
Closest atoms and distances in Å follow each position.
Atoms (fractional coordinates):
Sr1 0.1362 0.1362 0.2606  4 Pd 3.12-3.46, 3 Ga 3.32-3.41
Sr2 0.8638 0.8638 0.7394  4 Pd 3.12-3.46, 3 Ga 3.32-3.41
Ga1 0.3478 0.3478 0.0613  3 Pd 2.66-2.70, 3 Ga 2.84-2.95
Ga2 0.5000 0.5000 0.5000  4 Pd 2.58
Ga3 0.6522 0.6522 0.9387  3 Pd 2.66-2.70, 3 Ga 2.84-2.95
Pd1 0.1273 0.1273 0.7020  5 Ga 2.58-2.70
Pd2 0.8727 0.8727 0.2980  5 Ga 2.58-2.70

Values from the calculation:
DOS at the Fermi energy = 3.2 states/eV/cell
Mass density = 6.3 g/cm³

---

So which one wins? Going from most stable to least: model two, model one.

---

Model one:
VASP calculation (PBE) on a relaxed structure of Sr3Ga8Pd3.

Lattice parameters (Å, degrees): 8.5082 8.5082 8.5082 150.00 105.71 82.13
Closest atoms and distances in Å follow each position.
Atoms (fractional coordinates):
Sr1 0.0000 0.0000 0.0000  12 Ga 3.29-3.49, 4 Pd 3.49
Sr2 0.3215 0.3215 0.0000  4 Pd 3.18-3.34, 8 Ga 3.22-3.24
Sr3 0.6785 0.6785 0.0000  4 Pd 3.18-3.34, 8 Ga 3.22-3.24
Ga1 0.0333 0.6768 0.3565  1 Pd 2.58, 3 Ga 2.73
Ga2 0.1647 0.8813 0.2835  3 Pd 2.68-2.70, 3 Ga 2.73
Ga3 0.3203 0.6768 0.6435  1 Pd 2.58, 3 Ga 2.73
Ga4 0.4022 0.1187 0.2835  3 Pd 2.68-2.70, 3 Ga 2.73
Ga5 0.5978 0.8813 0.7165  3 Pd 2.68-2.70, 3 Ga 2.73
Ga6 0.6797 0.3232 0.3565  1 Pd 2.58, 3 Ga 2.73
Ga7 0.8353 0.1187 0.7165  3 Pd 2.68-2.70, 3 Ga 2.73
Ga8 0.9667 0.3232 0.6435  1 Pd 2.58, 3 Ga 2.73
Pd1 0.2640 0.5000 0.7640  6 Ga 2.58-2.68
Pd2 0.5000 0.0000 0.5000  4 Ga 2.70
Pd3 0.7360 0.5000 0.2360  6 Ga 2.58-2.68

Values from the calculation:
DOS at the Fermi energy = 3.9 states/eV/cell
Mass density = 6.5 g/cm³

---

Model two:
VASP calculation (PBE) on a relaxed structure of Sr3Ga8Pd3.

Lattice parameters (Å, degrees): 8.4228 8.4228 9.2521 121.87 121.87 31.40
Closest atoms and distances in Å follow each position.
Atoms (fractional coordinates):
Sr1 0.0000 0.0000 0.0000  8 Ga 3.25-3.33, 4 Pd 3.45
Sr2 0.2913 0.2913 0.3024  10 Ga 3.11-3.44, 3 Pd 3.31
Sr3 0.7087 0.7087 0.6976  10 Ga 3.11-3.44, 3 Pd 3.31
Ga1 0.1346 0.1346 0.4207  1 Pd 2.66, 2 Ga 2.72
Ga2 0.1419 0.1419 0.8495  4 Pd 2.61-2.76
Ga3 0.3457 0.3457 0.7181  1 Pd 2.65, 3 Ga 2.72-2.79
Ga4 0.4945 0.4945 0.3181  3 Pd 2.63-2.81, 1 Ga 2.79
Ga5 0.5055 0.5055 0.6819  3 Pd 2.63-2.81, 1 Ga 2.79
Ga6 0.6543 0.6543 0.2819  1 Pd 2.65, 3 Ga 2.72-2.79
Ga7 0.8581 0.8581 0.1505  4 Pd 2.61-2.76
Ga8 0.8654 0.8654 0.5793  1 Pd 2.66, 2 Ga 2.72
Pd1 0.0000 0.0000 0.5000  8 Ga 2.66-2.81
Pd2 0.3392 0.3392 0.9976  5 Ga 2.61-2.70
Pd3 0.6608 0.6608 0.0024  5 Ga 2.61-2.70

Values from the calculation:
DOS at the Fermi energy = 5.1 states/eV/cell
Mass density = 6.6 g/cm³

---

So which one wins? Going from most stable to least: model one, model two.

---

Model one:
VASP calculation (PBE) on a relaxed structure of SrGa4Pd2.

Lattice parameters (Å, degrees): 5.5613 5.5613 5.5613 104.49 104.49 119.97
Closest atoms and distances in Å follow each position.
Atoms (fractional coordinates):
Sr1 0.0000 0.0000 0.0000  4 Ga 2.96
Ga1 0.3078 0.3078 0.6157  2 Ga 2.62, 4 Pd 2.84
Ga2 0.3078 0.6922 0.0000  2 Ga 2.62, 4 Pd 2.84
Ga3 0.6922 0.3078 0.0000  2 Ga 2.62, 4 Pd 2.84
Ga4 0.6922 0.6922 0.3843  2 Ga 2.62, 4 Pd 2.84
Pd1 0.2500 0.7500 0.5000  2 Pd 2.78, 8 Ga 2.84
Pd2 0.7500 0.2500 0.5000  2 Pd 2.78, 8 Ga 2.84

Values from the calculation:
DOS at the Fermi energy = 2.6 states/eV/cell
Mass density = 7.5 g/cm³

---

Model two:
VASP calculation (PBE) on a relaxed structure of SrGa4Pd2.

Lattice parameters (Å, degrees): 17.6083 4.2532 7.3428 90.00 90.00 90.00
Closest atoms and distances in Å follow each position.
Atoms (fractional coordinates):
Sr1 0.1166 0.2500 0.0217  10 Ga 3.30-3.67, 4 Pd 3.36-3.46
Sr2 0.3834 0.7500 0.5217  10 Ga 3.30-3.67, 4 Pd 3.36-3.46
Sr3 0.6166 0.2500 0.4783  10 Ga 3.30-3.67, 4 Pd 3.36-3.46
Sr4 0.8834 0.7500 0.9783  10 Ga 3.30-3.67, 4 Pd 3.36-3.46
Ga1 0.0443 0.7500 0.7252  3 Pd 2.60-2.84, 3 Ga 2.74-2.85
Ga2 0.0950 0.2500 0.4962  4 Pd 2.51-2.63
Ga3 0.1879 0.7500 0.3494  4 Pd 2.57-2.72, 1 Ga 2.84
Ga4 0.2001 0.7500 0.7349  3 Pd 2.58-2.60, 2 Ga 2.74-2.84
Ga5 0.2999 0.2500 0.2349  3 Pd 2.58-2.60, 2 Ga 2.74-2.84
Ga6 0.3121 0.2500 0.8494  4 Pd 2.57-2.72, 1 Ga 2.84
Ga7 0.4050 0.7500 0.9962  4 Pd 2.51-2.63
Ga8 0.4557 0.2500 0.2252  3 Pd 2.60-2.84, 3 Ga 2.74-2.85
Ga9 0.5443 0.7500 0.7748  3 Pd 2.60-2.84, 3 Ga 2.74-2.85
Ga10 0.5950 0.2500 0.0038  4 Pd 2.51-2.63
Ga11 0.6879 0.7500 0.1506  4 Pd 2.57-2.72, 1 Ga 2.84
Ga12 0.7001 0.7500 0.7651  3 Pd 2.58-2.60, 2 Ga 2.74-2.84
Ga13 0.7999 0.2500 0.2651  3 Pd 2.58-2.60, 2 Ga 2.74-2.84
Ga14 0.8121 0.2500 0.6506  4 Pd 2.57-2.72, 1 Ga 2.84
Ga15 0.9050 0.7500 0.5038  4 Pd 2.51-2.63
Ga16 0.9557 0.2500 0.2748  3 Pd 2.60-2.84, 3 Ga 2.74-2.85
Pd1 0.0364 0.7500 0.3395  7 Ga 2.60-2.84
Pd2 0.2360 0.2500 0.5505  7 Ga 2.51-2.72
Pd3 0.2640 0.7500 0.0505  7 Ga 2.51-2.72
Pd4 0.4636 0.2500 0.8395  7 Ga 2.60-2.84
Pd5 0.5364 0.7500 0.1605  7 Ga 2.60-2.84
Pd6 0.7360 0.2500 0.9495  7 Ga 2.51-2.72
Pd7 0.7640 0.7500 0.4495  7 Ga 2.51-2.72
Pd8 0.9636 0.2500 0.6605  7 Ga 2.60-2.84

Values from the calculation:
DOS at the Fermi energy = 9.0 states/eV/cell
Mass density = 7.0 g/cm³

---

So which one wins? Going from most stable to least: model two, model one.